1.
First-principles (PBE) data for a relaxed ZrTl4 crystal, as listed in Alexandria.

```
ZrTl4
1.0
6.492 0.000 0.000
0.000 6.492 0.000
0.000 0.000 6.964
Zr Tl
2 8
Cartesian
0.000 0.000 0.000 Zr
3.246 3.246 3.482 Zr
0.849 1.744 2.320 Tl
1.502 2.397 5.802 Tl
1.744 5.643 4.644 Tl
2.397 4.990 1.162 Tl
4.094 1.502 1.162 Tl
4.747 0.849 4.644 Tl
4.990 4.094 5.802 Tl
5.643 4.747 2.320 Tl
```

---

2.
First-principles (PBE) data for a relaxed ZrTl crystal, as listed in Alexandria.

```
ZrTl
1.0
11.675 0.000 0.000
0.000 3.352 0.000
-2.399 0.000 7.311
Zr Tl
6 6
Cartesian
0.000 0.000 0.000 Zr
-0.876 0.000 4.176 Zr
3.822 0.000 1.758 Zr
5.838 1.676 0.000 Zr
4.961 1.676 4.176 Zr
9.659 1.676 1.758 Zr
1.104 1.676 2.383 Tl
0.294 1.676 6.644 Tl
2.394 0.000 4.765 Tl
6.942 0.000 2.383 Tl
6.131 0.000 6.644 Tl
8.232 1.676 4.765 Tl
```

---

3.
First-principles (PBE) data for a relaxed Zr4Tl crystal, as listed in Alexandria.

```
Zr4Tl
1.0
4.131 0.000 0.000
0.000 4.131 0.000
0.000 0.000 14.519
Zr Tl
8 2
Cartesian
0.000 0.000 1.299 Zr
0.000 0.000 13.220 Zr
0.000 2.065 3.630 Zr
0.000 2.065 10.889 Zr
2.065 0.000 3.630 Zr
2.065 0.000 10.889 Zr
2.065 2.065 5.961 Zr
2.065 2.065 8.558 Zr
0.000 0.000 7.259 Tl
2.065 2.065 0.000 Tl
```

---

4.
First-principles (PBE) data for a relaxed Zr3Tl crystal, as listed in Alexandria.

```
Zr3Tl
1.0
3.275 0.000 0.000
-1.638 2.837 0.000
0.000 0.000 10.266
Zr Tl
3 1
Cartesian
0.000 0.000 0.000 Zr
1.638 0.946 2.527 Zr
1.638 0.946 7.739 Zr
0.000 0.000 5.133 Tl
```

---

5.
First-principles (PBE) data for a relaxed ZrTl crystal, as listed in Alexandria.

```
ZrTl
1.0
5.874 0.000 0.000
0.000 5.228 0.000
0.000 0.000 6.077
Zr Tl
4 4
Cartesian
0.729 1.307 0.751 Zr
2.208 3.921 3.790 Zr
3.666 1.307 2.287 Zr
5.145 3.921 5.326 Zr
0.671 1.307 3.830 Tl
2.266 3.921 0.791 Tl
3.608 1.307 5.286 Tl
5.203 3.921 2.247 Tl
```

---

6.
First-principles (PBE) data for a relaxed ZrTl5 crystal, as listed in Alexandria.

```
ZrTl5
1.0
0.000 4.403 4.403
4.403 0.000 4.403
4.403 4.403 0.000
Zr Tl
1 5
Cartesian
0.000 0.000 0.000 Zr
3.300 3.300 3.300 Tl
5.506 5.506 3.300 Tl
5.506 3.300 5.506 Tl
6.605 6.605 6.605 Tl
3.300 5.506 5.506 Tl
```

---

7.
First-principles (PBE) data for a relaxed ZrTl4 crystal, as listed in Alexandria.

```
ZrTl4
1.0
7.796 0.000 0.000
0.000 7.796 0.000
0.000 0.000 4.321
Zr Tl
2 8
Cartesian
0.000 0.000 0.000 Zr
3.898 3.898 2.160 Zr
0.822 2.275 2.160 Tl
1.623 4.720 0.000 Tl
2.275 6.974 2.160 Tl
3.076 1.623 0.000 Tl
4.720 6.173 0.000 Tl
5.521 0.822 2.160 Tl
6.173 3.076 0.000 Tl
6.974 5.521 2.160 Tl
```

---

8.
First-principles (PBE) data for a relaxed Zr7Tl6 crystal, as listed in Alexandria.

```
Zr7Tl6
1.0
2.993 1.728 10.314
-2.993 1.728 10.314
0.000 -3.456 10.314
Zr Tl
7 6
Cartesian
0.000 0.000 0.000 Zr
0.000 -1.729 7.884 Zr
-1.497 0.864 7.884 Zr
-1.497 -0.864 23.059 Zr
1.497 0.864 7.884 Zr
1.497 -0.864 23.059 Zr
0.000 1.729 23.059 Zr
0.000 0.000 5.145 Tl
0.000 0.000 10.642 Tl
0.000 0.000 13.777 Tl
0.000 0.000 17.166 Tl
0.000 0.000 20.301 Tl
0.000 0.000 25.798 Tl
```

---

9.
First-principles (PBE) data for a relaxed Zr4Tl5 crystal, as listed in Alexandria.

```
Zr4Tl5
1.0
-5.225 5.225 1.991
5.225 -5.225 1.991
5.225 5.225 -1.991
Zr Tl
4 5
Cartesian
3.508 0.000 0.000 Zr
6.941 0.000 0.000 Zr
0.000 3.508 0.000 Zr
0.000 6.941 0.000 Zr
0.000 0.000 0.000 Tl
3.425 3.425 0.000 Tl
1.799 -1.799 1.991 Tl
-1.799 1.799 1.991 Tl
1.799 1.799 1.991 Tl
```

---

10.
First-principles (PBE) data for a relaxed ZrTl crystal, as listed in Alexandria.

```
ZrTl
1.0
0.000 6.223 9.566
1.589 0.000 9.566
1.589 6.223 0.000
Zr Tl
4 4
Cartesian
0.397 1.556 0.133 Zr
0.397 1.556 4.650 Zr
2.781 10.891 14.482 Zr
2.781 10.891 18.999 Zr
1.192 3.071 7.174 Tl
1.986 6.183 11.957 Tl
1.192 6.264 7.174 Tl
1.986 9.375 11.957 Tl
```

---

11.
First-principles (PBE) data for a relaxed Zr13Tl3 crystal, as listed in Alexandria.

```
Zr13Tl3
1.0
8.523 0.000 0.000
0.000 4.617 4.692
0.000 -4.617 4.692
Zr Tl
13 3
Cartesian
0.000 0.000 0.000 Zr
0.000 -2.289 2.350 Zr
0.000 2.289 2.350 Zr
0.000 0.000 4.789 Zr
2.079 0.000 7.054 Zr
2.158 -2.329 4.715 Zr
2.158 2.329 4.715 Zr
4.261 -2.307 2.368 Zr
4.261 2.307 2.368 Zr
4.261 0.000 4.730 Zr
6.365 -2.329 4.715 Zr
6.365 2.329 4.715 Zr
6.444 0.000 7.054 Zr
2.109 0.000 2.423 Tl
4.261 0.000 9.308 Tl
6.414 0.000 2.423 Tl
```

---

12.
First-principles (PBE) data for a relaxed ZrTl crystal, as listed in Alexandria.

```
ZrTl
1.0
8.043 0.000 0.000
-4.021 6.965 0.000
0.000 0.000 5.972
Zr Tl
6 6
Cartesian
-1.741 4.974 1.493 Zr
0.584 2.971 1.493 Zr
2.865 0.979 4.479 Zr
1.157 5.986 1.493 Zr
3.437 3.995 4.479 Zr
5.762 1.991 4.479 Zr
-1.842 5.080 4.479 Tl
0.543 2.830 4.479 Tl
2.723 0.945 1.493 Tl
1.299 6.021 4.479 Tl
3.478 4.135 1.493 Tl
5.863 1.885 1.493 Tl
```

---

Number 1: calculated formation energy 0.18 eV/atom. Number 2: calculated formation energy 0.04 eV/atom. Number 3: calculated formation energy 0.44 eV/atom. Number 4: calculated formation energy 0.00 eV/atom. Number 5: calculated formation energy -0.01 eV/atom. Number 6: calculated formation energy 0.40 eV/atom. Number 7: calculated formation energy 0.17 eV/atom. Number 8: calculated formation energy 0.16 eV/atom. Number 9: calculated formation energy -0.01 eV/atom. Number 10: calculated formation energy 0.04 eV/atom. Number 11: calculated formation energy -0.02 eV/atom. Number 12: calculated formation energy 0.34 eV/atom.